# 1
{
  "formula": "BeSi2I",
  "functional": "GGA-PBE",
  "state": "optimized geometry",
  "magnetic_moment_mub_per_fu": 0.0,
  "e_above_lowest_polymorph_mev_per_atom": 34,
  "lattice": [[4.003, 0.000, 0.000], [0.693, 5.215, 0.000], [1.305, -0.078, 10.475]],
  "species": ["Be", "Be", "Si", "Si", "Si", "Si", "I", "I"],
  "fractional_positions": [[0.362, 0.660, 0.114], [0.158, 0.383, 0.003], [0.006, 0.055, 0.871], [0.659, 0.483, 0.913], [0.577, 0.861, 0.785], [0.860, 0.791, 0.051], [0.627, 0.808, 0.550], [0.221, 0.293, 0.236]]
}

# 2
{
  "formula": "SrBe2SiI",
  "functional": "GGA-PBE",
  "state": "optimized geometry",
  "magnetic_moment_mub_per_fu": 2.0,
  "e_above_lowest_polymorph_mev_per_atom": 1377,
  "lattice": [[-4.082, 0.234, 4.372], [4.272, -1.721, 4.081], [1.378, 5.742, 0.979]],
  "species": ["I", "Be", "Be", "Si", "Sr"],
  "fractional_positions": [[0.000, 0.500, 0.000], [0.000, 0.000, 0.500], [0.500, 0.000, 0.000], [0.500, 0.500, 0.500], [0.000, 0.000, 0.000]]
}

# 3
{
  "formula": "SrBe2SiI",
  "functional": "GGA-PBE",
  "state": "optimized geometry",
  "magnetic_moment_mub_per_fu": 0.0,
  "e_above_lowest_polymorph_mev_per_atom": 0,
  "lattice": [[4.341, 0.000, 0.000], [0.000, 7.663, 0.000], [0.000, 0.000, 4.341]],
  "species": ["I", "Sr", "Be", "Be", "Si"],
  "fractional_positions": [[0.000, 0.500, 0.000], [0.500, 0.500, 0.500], [0.500, 0.000, 0.000], [0.000, 0.000, 0.500], [0.000, 0.000, 0.000]]
}

# 4
{
  "formula": "Be2SiTcI",
  "functional": "GGA-PBE",
  "state": "optimized geometry",
  "magnetic_moment_mub_per_fu": 0.0,
  "lattice": [[4.351, 0.000, 0.000], [0.000, 5.187, 0.000], [0.000, 0.000, 4.351]],
  "species": ["I", "Tc", "Si", "Be", "Be"],
  "fractional_positions": [[0.000, 0.500, 0.000], [0.000, 0.000, 0.000], [0.500, 0.500, 0.500], [0.500, 0.000, 0.000], [0.000, 0.000, 0.500]]
}

# 5
{
  "formula": "BeVSi2I",
  "functional": "GGA-PBE",
  "state": "optimized geometry",
  "magnetic_moment_mub_per_fu": 0.0,
  "lattice": [[4.645, 0.000, 0.000], [0.000, 5.323, 0.000], [0.000, 0.000, 4.645]],
  "species": ["I", "Si", "Si", "Be", "V"],
  "fractional_positions": [[0.000, 0.500, 0.000], [0.000, 0.000, 0.500], [0.500, 0.000, 0.000], [0.500, 0.500, 0.500], [0.000, 0.000, 0.000]]
}

# 6
{
  "formula": "Sm4BeI5",
  "functional": "GGA-PBE",
  "state": "optimized geometry",
  "magnetic_moment_mub_per_fu": 0.0,
  "lattice": [[-1.500, 3.646, 1.240], [-5.603, 0.111, -7.106], [-4.520, -6.303, 6.180]],
  "species": ["Be", "Sm", "Sm", "Sm", "Sm", "I", "I", "I", "I", "I"],
  "fractional_positions": [[0.500, 0.000, 0.000], [0.356, 0.926, 0.712], [0.999, 0.213, 0.998], [0.644, 0.074, 0.288], [0.001, 0.787, 0.002], [0.833, 0.657, 0.667], [0.826, 0.174, 0.653], [0.500, 0.500, 0.000], [0.174, 0.826, 0.347], [0.167, 0.343, 0.333]]
}

# 7
{
  "formula": "BeSnI3",
  "functional": "GGA-PBE",
  "state": "optimized geometry",
  "magnetic_moment_mub_per_fu": 0.0,
  "e_above_lowest_polymorph_mev_per_atom": 0,
  "lattice": [[5.327, 0.000, 0.000], [0.000, 5.327, 0.000], [0.000, 0.000, 5.327]],
  "species": ["Sn", "Be", "I", "I", "I"],
  "fractional_positions": [[0.500, 0.500, 0.500], [0.000, 0.000, 0.000], [0.000, 0.000, 0.500], [0.000, 0.500, 0.000], [0.500, 0.000, 0.000]]
}

# 8
{
  "formula": "Be3SnI",
  "functional": "GGA-PBE",
  "state": "optimized geometry",
  "magnetic_moment_mub_per_fu": 0.0,
  "e_above_lowest_polymorph_mev_per_atom": 0,
  "lattice": [[-0.611, -4.675, -1.151], [2.314, -1.303, 4.063], [-4.222, -0.038, 2.393]],
  "species": ["Be", "Be", "Be", "I", "Sn"],
  "fractional_positions": [[0.500, 0.000, 0.000], [0.000, 0.500, 0.000], [0.000, 0.000, 0.500], [0.500, 0.500, 0.500], [0.000, 0.000, 0.000]]
}

# 9
{
  "formula": "BeSn2I2",
  "functional": "GGA-PBE",
  "state": "optimized geometry",
  "magnetic_moment_mub_per_fu": 0.0,
  "e_above_lowest_polymorph_mev_per_atom": 185,
  "lattice": [[4.213, 0.000, 0.000], [0.000, 4.213, 0.000], [2.107, 2.107, 9.264]],
  "species": ["I", "I", "Sn", "Sn", "Be"],
  "fractional_positions": [[0.598, 0.598, 0.805], [0.402, 0.402, 0.195], [0.750, 0.250, 0.500], [0.250, 0.750, 0.500], [0.000, 0.000, 0.000]]
}

# 10
{
  "formula": "BeSnI4",
  "functional": "GGA-PBE",
  "state": "optimized geometry",
  "magnetic_moment_mub_per_fu": 0.0,
  "lattice": [[-3.201, -0.016, -6.834], [-1.692, -7.348, -0.312], [-1.970, 4.611, 5.640]],
  "species": ["Sn", "I", "I", "I", "I", "Be"],
  "fractional_positions": [[0.750, 0.250, 0.500], [0.392, 0.800, 0.959], [0.566, 0.608, 0.408], [0.842, 0.434, 0.041], [0.200, 0.158, 0.592], [0.500, 0.500, 0.000]]
}

# 11
{
  "formula": "BeSn2I2",
  "functional": "GGA-PBE",
  "state": "optimized geometry",
  "magnetic_moment_mub_per_fu": 0.0,
  "e_above_lowest_polymorph_mev_per_atom": 0,
  "lattice": [[6.829, 0.000, 0.000], [0.000, 6.829, 0.000], [0.000, 0.000, 6.731]],
  "species": ["Sn", "Sn", "Sn", "Sn", "I", "I", "I", "I", "Be", "Be"],
  "fractional_positions": [[0.285, 0.785, 0.500], [0.715, 0.215, 0.500], [0.215, 0.285, 0.500], [0.785, 0.715, 0.500], [0.313, 0.813, 0.000], [0.687, 0.187, 0.000], [0.813, 0.687, 0.000], [0.187, 0.313, 0.000], [0.500, 0.500, 0.000], [0.000, 0.000, 0.000]]
}

# 12
{
  "formula": "Be2SnI",
  "functional": "GGA-PBE",
  "state": "optimized geometry",
  "magnetic_moment_mub_per_fu": 0.0,
  "e_above_lowest_polymorph_mev_per_atom": 601,
  "lattice": [[0.000, 3.397, 3.397], [3.397, 0.000, 3.397], [3.397, 3.397, 0.000]],
  "species": ["Be", "Be", "I", "Sn"],
  "fractional_positions": [[0.250, 0.250, 0.250], [0.750, 0.750, 0.750], [0.500, 0.500, 0.500], [0.000, 0.000, 0.000]]
}

# 13
{
  "formula": "Be3SnI",
  "functional": "GGA-PBE",
  "state": "optimized geometry",
  "magnetic_moment_mub_per_fu": 0.0,
  "e_above_lowest_polymorph_mev_per_atom": 564,
  "lattice": [[-3.954, 0.881, -2.523], [-2.649, -1.889, 3.492], [-0.354, 4.294, 2.054]],
  "species": ["I", "Be", "Be", "Be", "Sn"],
  "fractional_positions": [[0.000, 0.000, 0.000], [0.000, 0.500, 0.000], [0.000, 0.000, 0.500], [0.500, 0.000, 0.000], [0.500, 0.500, 0.500]]
}

# 14
{
  "formula": "Be2SnI",
  "functional": "GGA-PBE",
  "state": "optimized geometry",
  "magnetic_moment_mub_per_fu": 0.0,
  "e_above_lowest_polymorph_mev_per_atom": 0,
  "lattice": [[-4.611, -2.467, -2.544], [-2.213, -1.256, 5.229], [-6.122, 3.146, 1.398]],
  "species": ["Be", "Be", "Be", "Be", "I", "I", "Sn", "Sn"],
  "fractional_positions": [[0.375, 0.390, 0.750], [0.875, 0.860, 0.750], [0.140, 0.625, 0.250], [0.610, 0.125, 0.250], [0.000, 0.000, 0.000], [0.750, 0.250, 0.500], [0.500, 0.500, 0.000], [0.250, 0.750, 0.500]]
}

# 15
{
  "formula": "BeSnI3",
  "functional": "GGA-PBE",
  "state": "optimized geometry",
  "magnetic_moment_mub_per_fu": 0.7,
  "e_above_lowest_polymorph_mev_per_atom": 394,
  "lattice": [[-2.744, -5.069, -1.891], [5.294, -2.953, 0.236], [-1.117, -1.543, 5.759]],
  "species": ["I", "I", "I", "Sn", "Be"],
  "fractional_positions": [[0.000, 0.500, 0.000], [0.500, 0.000, 0.000], [0.000, 0.000, 0.500], [0.000, 0.000, 0.000], [0.500, 0.500, 0.500]]
}

# 16
{
  "formula": "TaBeSn2I",
  "functional": "GGA-PBE",
  "state": "optimized geometry",
  "magnetic_moment_mub_per_fu": 1.2,
  "lattice": [[5.885, 0.000, 0.000], [0.000, 5.082, 0.000], [0.000, 0.000, 5.885]],
  "species": ["Sn", "Sn", "Ta", "Be", "I"],
  "fractional_positions": [[0.500, 0.000, 0.000], [0.000, 0.000, 0.500], [0.000, 0.500, 0.000], [0.500, 0.500, 0.500], [0.000, 0.000, 0.000]]
}

# 17
{
  "formula": "BeSnTeI2",
  "functional": "GGA-PBE",
  "state": "optimized geometry",
  "magnetic_moment_mub_per_fu": 0.0,
  "e_above_lowest_polymorph_mev_per_atom": 0,
  "lattice": [[5.157, 0.000, 0.000], [0.000, 5.157, 0.000], [0.000, 0.000, 5.493]],
  "species": ["Be", "Sn", "I", "I", "Te"],
  "fractional_positions": [[0.000, 0.000, 0.000], [0.500, 0.500, 0.500], [0.000, 0.500, 0.000], [0.500, 0.000, 0.000], [0.000, 0.000, 0.500]]
}

# 18
{
  "formula": "BeSnTeI2",
  "functional": "GGA-PBE",
  "state": "optimized geometry",
  "magnetic_moment_mub_per_fu": 0.0,
  "e_above_lowest_polymorph_mev_per_atom": 574,
  "lattice": [[-0.574, -5.916, 0.361], [5.868, -0.618, -0.798], [0.816, 0.274, 5.787]],
  "species": ["Te", "I", "I", "Sn", "Be"],
  "fractional_positions": [[0.000, 0.000, 0.500], [0.500, 0.000, 0.000], [0.000, 0.500, 0.000], [0.000, 0.000, 0.000], [0.500, 0.500, 0.500]]
}

# 19
{
  "formula": "BeTl2SnI",
  "functional": "GGA-PBE",
  "state": "optimized geometry",
  "magnetic_moment_mub_per_fu": 0.0,
  "lattice": [[-4.941, -0.093, 4.052], [-1.446, -4.061, -1.857], [3.543, -3.203, 4.246]],
  "species": ["I", "Sn", "Tl", "Tl", "Be"],
  "fractional_positions": [[0.000, 0.000, 0.000], [0.500, 0.500, 0.500], [0.500, 0.000, 0.000], [0.000, 0.000, 0.500], [0.000, 0.500, 0.000]]
}

# 20
{
  "formula": "Sr2BeI2",
  "functional": "GGA-PBE",
  "state": "optimized geometry",
  "magnetic_moment_mub_per_fu": 0.0,
  "e_above_lowest_polymorph_mev_per_atom": 0,
  "lattice": [[-4.520, 3.076, 7.542], [-6.505, -6.555, -1.225], [2.148, -2.567, 2.334]],
  "species": ["Sr", "Sr", "Sr", "Sr", "Be", "Be", "I", "I", "I", "I"],
  "fractional_positions": [[0.331, 0.169, 0.500], [0.169, 0.669, 0.500], [0.831, 0.331, 0.500], [0.669, 0.831, 0.500], [0.000, 0.000, 0.000], [0.500, 0.500, 0.000], [0.635, 0.135, 0.000], [0.135, 0.365, 0.000], [0.865, 0.635, 0.000], [0.365, 0.865, 0.000]]
}

# 21
{
  "formula": "SrBeI3",
  "functional": "GGA-PBE",
  "state": "optimized geometry",
  "magnetic_moment_mub_per_fu": 1.0,
  "e_above_lowest_polymorph_mev_per_atom": 443,
  "lattice": [[-0.023, 5.480, -3.336], [-6.214, -0.848, -1.349], [-1.594, 3.226, 5.311]],
  "species": ["I", "I", "I", "Be", "Sr"],
  "fractional_positions": [[0.000, 0.500, 0.000], [0.500, 0.000, 0.000], [0.000, 0.000, 0.500], [0.500, 0.500, 0.500], [0.000, 0.000, 0.000]]
}

# 22
{
  "formula": "Sr2BeI2",
  "functional": "GGA-PBE",
  "state": "optimized geometry",
  "magnetic_moment_mub_per_fu": 1.9,
  "e_above_lowest_polymorph_mev_per_atom": 57,
  "lattice": [[6.357, 0.000, 0.000], [0.000, 6.357, 0.000], [3.179, 3.179, 5.074]],
  "species": ["Sr", "Sr", "Be", "I", "I"],
  "fractional_positions": [[0.750, 0.250, 0.500], [0.250, 0.750, 0.500], [0.000, 0.000, 0.000], [0.323, 0.323, 0.353], [0.677, 0.677, 0.647]]
}

# 23
{
  "formula": "SrBeI4",
  "functional": "GGA-PBE",
  "state": "optimized geometry",
  "magnetic_moment_mub_per_fu": 0.0,
  "lattice": [[-5.420, -2.601, 6.412], [-2.225, -5.659, -4.416], [5.778, -4.621, 3.010]],
  "species": ["I", "I", "I", "I", "I", "I", "I", "I", "Sr", "Sr", "Be", "Be"],
  "fractional_positions": [[0.736, 0.606, 0.508], [0.857, 0.052, 0.750], [0.264, 0.394, 0.008], [0.143, 0.948, 0.250], [0.736, 0.606, 0.992], [0.264, 0.394, 0.492], [0.579, 0.120, 0.250], [0.421, 0.880, 0.750], [0.443, 0.704, 0.250], [0.557, 0.296, 0.750], [0.689, 0.800, 0.750], [0.311, 0.200, 0.250]]
}

# 24
{
  "formula": "Sr3BeI",
  "functional": "GGA-PBE",
  "state": "optimized geometry",
  "magnetic_moment_mub_per_fu": 0.0,
  "e_above_lowest_polymorph_mev_per_atom": 0,
  "lattice": [[-1.895, -5.257, 2.262], [5.481, -2.353, -0.876], [1.647, 1.782, 5.519]],
  "species": ["Sr", "Sr", "Sr", "Be", "I"],
  "fractional_positions": [[0.000, 0.500, 0.000], [0.000, 0.000, 0.500], [0.500, 0.000, 0.000], [0.000, 0.000, 0.000], [0.500, 0.500, 0.500]]
}

# 25
{
  "formula": "SrBe2I6",
  "functional": "GGA-PBE",
  "state": "optimized geometry",
  "magnetic_moment_mub_per_fu": 0.0,
  "lattice": [[-0.992, 6.239, -2.794], [-3.017, -7.777, -7.751], [-9.266, -2.570, 6.099]],
  "species": ["I", "I", "I", "I", "I", "I", "I", "I", "I", "I", "I", "I", "Be", "Be", "Be", "Be", "Sr", "Sr"],
  "fractional_positions": [[0.562, 0.474, 0.755], [0.438, 0.526, 0.245], [0.336, 0.026, 0.748], [0.330, 0.181, 0.321], [0.062, 0.755, 0.474], [0.164, 0.252, 0.974], [0.830, 0.321, 0.181], [0.836, 0.748, 0.026], [0.664, 0.974, 0.252], [0.170, 0.679, 0.819], [0.670, 0.819, 0.679], [0.938, 0.245, 0.526], [0.814, 0.680, 0.820], [0.186, 0.320, 0.180], [0.314, 0.820, 0.680], [0.686, 0.180, 0.320], [0.250, 0.750, 0.250], [0.750, 0.250, 0.750]]
}

# 26
{
  "formula": "SrBeI3",
  "functional": "GGA-PBE",
  "state": "optimized geometry",
  "magnetic_moment_mub_per_fu": 0.0,
  "e_above_lowest_polymorph_mev_per_atom": 0,
  "lattice": [[-1.217, -0.789, -5.226], [-0.322, -5.342, 0.881], [-5.276, 0.508, 1.151]],
  "species": ["Be", "I", "I", "I", "Sr"],
  "fractional_positions": [[0.000, 0.000, 0.000], [0.500, 0.000, 0.000], [0.000, 0.000, 0.500], [0.000, 0.500, 0.000], [0.500, 0.500, 0.500]]
}

# 27
{
  "formula": "SrBeTeI2",
  "functional": "GGA-PBE",
  "state": "optimized geometry",
  "magnetic_moment_mub_per_fu": 2.0,
  "e_above_lowest_polymorph_mev_per_atom": 762,
  "lattice": [[-0.329, -2.149, 5.999], [2.360, -5.621, -1.884], [6.151, 2.205, 1.128]],
  "species": ["I", "I", "Be", "Sr", "Te"],
  "fractional_positions": [[0.500, 0.000, 0.000], [0.000, 0.500, 0.000], [0.500, 0.500, 0.500], [0.000, 0.000, 0.000], [0.000, 0.000, 0.500]]
}

For the records above, the corresponding energy relative to the elements, uncorrected values read 0.1421 1.6401 0.2630 1.2961 1.0534 -0.9845 0.0585 0.9295 0.5269 -0.4544 0.3424 1.0392 1.4932 0.4385 0.4528 1.9980 0.1005 0.6748 0.7415 -0.3063 -0.1664 -0.2493 -1.1272 -0.1012 -0.8579 -0.6094 0.1536 eV per atom.